A PBEsol-optimized structure of Rb2ZnH4. Source: Alexandria, functional meta-GGA SCAN.

Unit cell a=7.975 b=5.885 c=10.348 alpha=90.00 beta=90.00 gamma=90.00
Space group Pnma (No. 62)
Inequivalent atoms, fractional coordinates:
1 Rb 0.017 0.250 0.185
2 Rb 0.159 0.750 0.405
3 Zn 0.242 0.750 0.083
4 H 0.036 0.750 0.095
5 H 0.183 0.021 0.654
6 H 0.193 0.250 0.432

## Properties
Uncorrected energy, eV per atom: -10.157
Crystal system: orthorhombic
N(E_F), states/eV per cell: 0.00

***

A PBEsol-optimized structure of RbZrH2. Source: Alexandria, functional meta-GGA SCAN.

Unit cell a=6.325 b=6.325 c=6.325 alpha=90.00 beta=90.00 gamma=90.00
Space group Fm-3m (No. 225)
Inequivalent atoms, fractional coordinates:
1 Rb 0.000 0.000 0.000
2 Zr 0.000 0.000 0.500
3 H 0.250 0.250 0.250

## Properties
Uncorrected energy, eV per atom: -13.642
Crystal system: cubic
N(E_F), states/eV per cell: 7.11

***

A PBEsol-optimized structure of Re3H. Source: Alexandria, functional meta-GGA SCAN.

Unit cell a=5.922 b=5.922 c=5.922 alpha=90.00 beta=90.00 gamma=90.00
Space group Fm-3m (No. 225)
Inequivalent atoms, fractional coordinates:
1 Re 0.000 0.000 0.000
2 Re 0.250 0.250 0.250
3 H 0.000 0.000 0.500

## Properties
Uncorrected energy, eV per atom: -53.377
Crystal system: cubic
N(E_F), states/eV per cell: 10.83

***

A PBEsol-optimized structure of ReHRh2. Source: Alexandria, functional meta-GGA SCAN.

Unit cell a=5.832 b=5.832 c=5.832 alpha=90.00 beta=90.00 gamma=90.00
Space group Fm-3m (No. 225)
Inequivalent atoms, fractional coordinates:
1 Re 0.000 0.000 0.000
2 H 0.000 0.000 0.500
3 Rh 0.250 0.250 0.250

## Properties
Uncorrected energy, eV per atom: -34.853
Crystal system: cubic
N(E_F), states/eV per cell: 9.95